! FeCu2Pb (PBE-GGA, optimized geometry); values from VASP
&SYSTEM
  ibrav = 0, nat = 8, ntyp = 3
/
ATOMIC_SPECIES
Cu 63.55 Cu.upf
Pb 207.20 Pb.upf
Fe 55.84 Fe.upf
CELL_PARAMETERS angstrom
3.8667 0.0000 0.0000
0.0000 3.8667 0.0000
1.9333 1.9333 9.2511
ATOMIC_POSITIONS crystal
Cu 0.5792 0.1250 0.2500
Pb 0.7500 0.2500 0.5000
Pb 0.0000 0.0000 0.0000
Fe 0.5000 0.5000 0.0000
Cu 0.3750 0.4208 0.7500
Cu 0.8750 0.8292 0.7500
Fe 0.2500 0.7500 0.5000
Cu 0.1708 0.6250 0.2500
! crystal system = tetragonal
! ΔH_f (0 K) = 0.5918 eV per atom
! N(E_F) = 4.87 states/eV/cell